The following is a DFT calculation (GGA+U) of crystalline PmCr4Cu3O12 at its relaxed geometry.

Properties
final energy = -138.90 eV/f.u.

abc: 6.428 6.428 6.428
angles: 109.47 109.47 109.47
Element x y z (fractional)
Cr  0.500  0.500  0.500
Cr  0.000  0.500  0.000
Cr  0.500  0.000  0.000
Cr  0.000  0.000  0.500
O  0.141  0.309  0.833
O  0.309  0.167  0.476
O  0.167  0.859  0.691
O  0.833  0.524  0.691
O  0.691  0.167  0.859
O  0.167  0.476  0.309
O  0.309  0.833  0.141
O  0.833  0.141  0.309
O  0.524  0.691  0.833
O  0.859  0.691  0.167
O  0.691  0.833  0.524
O  0.476  0.309  0.167
Pm  0.000  0.000  0.000
Cu  0.000  0.500  0.500
Cu  0.500  0.000  0.500
Cu  0.500  0.500  0.000